Material: LaCd2HgRh
Method: DFT, PBE-GGA
State: relaxed

Calculated values
Total DFT energy (no corrections), eV/atom: -3.182
Density, g cm⁻³: 7.6
Magnetic moment, μB per atom: 0.0000
ΔH_f (0 K), meV/atom: -299

Cell lengths 5.2915, 5.2915, 5.2225 Å; angles 90.00, 90.00, 90.00 degrees
With the nearest neighbours (Å) after each atom.
Fractional coordinates of all 5 atoms:
La 0.0000 0.0000 0.0000  2 Rh 2.61
Cd 0.0000 0.5000 0.5000  2 Rh 2.65
Cd 0.5000 0.0000 0.5000  2 Rh 2.65
Hg 0.5000 0.5000 0.0000  8 Cd 3.72, 4 La 3.74
Rh 0.0000 0.0000 0.5000  2 La 2.61, 4 Cd 2.65

=====

Material: CrAg2W
Method: DFT, PBE-GGA
State: relaxed

Calculated values
Total DFT energy (no corrections), eV/atom: -6.580
Energy above the lowest structure with this stoichiometry, meV/atom: 106
Density, g cm⁻³: 11.4
Magnetic moment, μB per atom: 0.1613
ΔH_f (0 K), meV/atom: 490

Cell lengths 3.0684, 3.0684, 7.0126 Å; angles 90.00, 90.00, 90.00 degrees
With the nearest neighbours (Å) after each atom.
Fractional coordinates of all 4 atoms:
Cr 0.0000 0.0000 0.0000  4 W 2.47
Ag 0.0000 0.0000 0.4605  8 Ag 2.88-3.07, 4 W 2.98, 1 Cr 3.23
Ag 0.5000 0.5000 0.7314  4 Cr 2.87, 8 Ag 2.88-3.07, 1 W 3.07
W 0.5000 0.5000 0.1688  4 Cr 2.47

=====

- Which of these has the highest total DFT energy (no corrections)?
  LaCd2HgRh

=====

- Among the records above, which one has the lowest total DFT energy (no corrections)?
  CrAg2W